Entry 1:
A plane-wave DFT calculation with GGA-PBE was carried out for a geometry-optimized NbInN structure.

Computed properties:
Total moment ... 0.00 μB/f.u.
ΔE to the lowest computed polymorph ... 151 meV per atom
Uncorrected formation energy ... -1.09 eV per formula unit

Lattice parameters (Å, degrees): 2.999 12.465 5.668 90.00 90.00 90.00
Fractional coordinates of all 12 atoms:
Nb: 0.000 0.711 0.943
Nb: 0.000 0.289 0.943
Nb: 0.000 0.211 0.443
Nb: 0.000 0.789 0.443
In: 0.500 0.000 0.450
In: 0.500 0.500 0.950
In: 0.000 0.000 0.949
In: 0.000 0.500 0.449
N: 0.500 0.250 0.693
N: 0.500 0.750 0.693
N: 0.500 0.750 0.193
N: 0.500 0.250 0.193

Entry 2:
A plane-wave DFT calculation with GGA-PBE was carried out for a geometry-optimized LiMnCo structure.

Computed properties:
Total moment ... 1.76 μB/f.u.
ΔE to the lowest computed polymorph ... 0 meV per atom
Formation enthalpy at 0 K ... 0.72 eV/f.u.

Lattice parameters (Å, degrees): 2.482 2.482 6.466 90.00 90.00 120.00
Each line ends with the local moment (μB).
Fractional coordinates of all 3 atoms:
Co: 0.000 0.000 0.984  1.05
Li: 0.667 0.333 0.328  0.01
Mn: 0.333 0.667 0.688  0.67